Entry 1:
A plane-wave DFT calculation with PBE was carried out for a relaxed structure of LiDyAgHg. Values from VASP.

Results
For the calculated density, the calculation gives 9.2 g/cm³. As for the uncorrected energy: -10.9 eV per cell. Its energy of formation is -1.3 eV per formula unit. The magnetic moment is 0.00 μB/cell.

Geometry as Quantum ESPRESSO input:
```
&SYSTEM
  ibrav = 0, nat = 4, ntyp = 4
/
ATOMIC_SPECIES
Ag 107.87 Ag.upf
Hg 200.59 Hg.upf
Li 6.94 Li.upf
Dy 162.50 Dy.upf
ATOMIC_POSITIONS crystal
Ag 0.0000 0.0000 0.0000
Hg 0.5000 0.5000 0.0000
Li 0.2500 0.7500 0.5000
Dy 0.7500 0.2500 0.5000
CELL_PARAMETERS angstrom
4.6988 0.0000 0.0000
0.0000 4.6989 0.0000
-2.3494 -2.3495 3.9059
```

Entry 2:
A plane-wave DFT calculation with PBE was carried out for a relaxed structure of DyLuAgHg. Values from VASP.

Results
For the calculated density, the calculation gives 11.1 g/cm³. As for the uncorrected energy: -13.9 eV per cell. Its energy of formation is -1.6 eV per formula unit. The magnetic moment is 0.00 μB/cell.

Geometry as Quantum ESPRESSO input:
```
&SYSTEM
  ibrav = 0, nat = 4, ntyp = 4
/
ATOMIC_SPECIES
Ag 107.87 Ag.upf
Dy 162.50 Dy.upf
Hg 200.59 Hg.upf
Lu 174.97 Lu.upf
ATOMIC_POSITIONS crystal
Ag 0.2500 0.2500 0.2500
Dy 0.0000 0.0000 0.0000
Hg 0.7500 0.7500 0.7500
Lu 0.5000 0.5000 0.5000
CELL_PARAMETERS angstrom
-0.0780 3.4030 -3.8668
0.7814 -1.5822 -4.8399
-3.8995 -0.0152 -3.3663
```

Entry 3:
A plane-wave DFT calculation with PBE was carried out for a relaxed structure of DyMg2Ag2Hg2. Values from VASP.

Results
For the calculated density, the calculation gives 9.1 g/cm³. As for the uncorrected energy: -15.6 eV per cell. Its energy of formation is -1.5 eV per formula unit. The magnetic moment is 0.00 μB/cell.

Geometry as Quantum ESPRESSO input:
```
&SYSTEM
  ibrav = 0, nat = 7, ntyp = 4
/
ATOMIC_SPECIES
Ag 107.87 Ag.upf
Mg 24.30 Mg.upf
Hg 200.59 Hg.upf
Dy 162.50 Dy.upf
ATOMIC_POSITIONS crystal
Ag 0.5632 0.5632 0.3104
Ag 0.4368 0.4368 0.6896
Mg 0.8602 0.8602 0.4195
Mg 0.1398 0.1398 0.5805
Hg 0.2703 0.2703 0.1890
Hg 0.7297 0.7297 0.8110
Dy 0.0000 0.0000 0.0000
CELL_PARAMETERS angstrom
4.7650 0.0000 0.0000
2.3825 4.1266 0.0000
2.3825 1.3755 7.7190
```